# VNiO2

Crystalline VNiO2 at its relaxed geometry (GGA+U, the Alexandria database).

- V (A^3/atom) = 11.55
- N(E_F) (states/eV/cell) = 0.1
- total magnetic moment (μB per cell) = 6.00
- uncorrected energy (eV per atom) = -6.168
- polymorph energy (0 for the lowest one) (meV/atom) = 155
- crystal system = monoclinic

abc: 3.029 5.459 5.587
angles: 90.00 90.00 89.38
Each line ends with the local moment (μB).
Fractional coordinates of all 8 atoms:
1 Ni 0.449 0.982 0.128  1.03
2 Ni 0.949 0.482 0.128  1.03
3 O 0.186 0.470 0.815  -0.02
4 O 0.715 0.493 0.441  -0.02
5 O 0.215 0.993 0.815  -0.02
6 O 0.686 0.970 0.441  -0.02
7 V 0.201 0.731 0.546  1.91
8 V 0.701 0.231 0.710  1.91